# 1
YTl2OsO6 | PBE-GGA | optimized geometry

```
YTl2OsO6
1.0
5.781 0.000 0.000
0.000 6.434 0.000
0.000 -3.217 5.572
O Os Y Tl
6 1 1 2
Direct
0.799 0.137 0.275 O
0.799 0.137 0.863 O
0.799 0.725 0.863 O
0.201 0.275 0.137 O
0.201 0.863 0.137 O
0.201 0.863 0.725 O
0.000 0.000 0.000 Os
0.500 0.000 0.000 Y
0.961 0.667 0.333 Tl
0.039 0.333 0.667 Tl
```

Calculated values
- Raw formation energy: -14.0 eV/f.u.
- Symmetry: P-3m1
- Fermi-level density of states: 4.65 states/eV/f.u.

---

# 2
Y2TlOsO8 | PBE-GGA | optimized geometry

```
Y2TlOsO8
1.0
-1.422 4.109 -2.342
-2.450 1.247 4.103
5.738 3.356 2.406
Y O Tl Os
2 8 1 1
Direct
0.500 0.500 0.752 Y
0.500 0.500 0.248 Y
0.723 0.723 0.000 O
0.184 0.816 0.196 O
0.696 0.696 0.500 O
0.304 0.304 0.500 O
0.184 0.816 0.804 O
0.816 0.184 0.196 O
0.277 0.277 0.000 O
0.816 0.184 0.804 O
0.000 0.000 0.500 Tl
0.000 0.000 0.000 Os
```

Calculated values
- Raw formation energy: -23.3 eV/f.u.
- Symmetry: Cmmm
- Fermi-level density of states: 4.01 states/eV/f.u.

---

# 3
YTl3Os2O9 | PBE-GGA | optimized geometry

```
YTl3Os2O9
1.0
-2.903 2.458 4.377
-2.867 -2.956 -4.083
0.716 -6.022 3.856
Os O Tl Y
2 9 3 1
Direct
0.667 0.333 0.848 Os
0.333 0.667 0.152 Os
0.641 0.820 0.307 O
0.820 0.641 0.693 O
0.500 0.500 0.000 O
0.359 0.180 0.693 O
0.180 0.359 0.307 O
0.000 0.500 0.000 O
0.180 0.820 0.307 O
0.500 0.000 0.000 O
0.820 0.180 0.693 O
0.667 0.333 0.347 Tl
0.333 0.667 0.653 Tl
0.000 0.000 0.000 Tl
0.000 0.000 0.500 Y
```

Calculated values
- Raw formation energy: -19.7 eV/f.u.
- Symmetry: P-3m1
- Fermi-level density of states: 3.35 states/eV/f.u.

---

# 4
YTl2Os3O12 | PBE-GGA | optimized geometry

```
YTl2Os3O12
1.0
7.572 0.172 0.122
3.889 6.499 0.122
3.889 2.264 6.093
O Os Y Tl
12 3 1 2
Direct
0.082 0.082 0.635 O
0.300 0.300 0.926 O
0.074 0.700 0.700 O
0.300 0.926 0.300 O
0.926 0.300 0.300 O
0.918 0.365 0.918 O
0.635 0.082 0.082 O
0.365 0.918 0.918 O
0.700 0.074 0.700 O
0.918 0.918 0.365 O
0.700 0.700 0.074 O
0.082 0.635 0.082 O
0.000 0.500 0.000 Os
0.000 0.000 0.500 Os
0.500 0.000 0.000 Os
0.000 0.000 0.000 Y
0.342 0.342 0.342 Tl
0.658 0.658 0.658 Tl
```

Calculated values
- Raw formation energy: -22.9 eV/f.u.
- Symmetry: R-3m
- Fermi-level density of states: 6.90 states/eV/f.u.

---

# 5
Tl2Zn2OsO6 | PBE-GGA | optimized geometry

```
Tl2Zn2OsO6
1.0
5.431 0.025 0.046
-2.663 4.734 0.046
-0.990 -1.702 6.370
O Tl Os Zn
6 2 1 2
Direct
0.950 0.644 0.337 O
0.755 0.755 0.666 O
0.050 0.356 0.663 O
0.356 0.050 0.663 O
0.644 0.950 0.337 O
0.245 0.245 0.334 O
0.829 0.171 0.000 Tl
0.171 0.829 0.000 Tl
0.000 0.000 0.500 Os
0.336 0.664 0.500 Zn
0.664 0.336 0.500 Zn
```

Calculated values
- Raw formation energy: -10.4 eV/f.u.
- Symmetry: C2/m
- Fermi-level density of states: 3.79 states/eV/f.u.

---

# 6
Tl2ZnOsO6 | PBE-GGA | optimized geometry

```
Tl2ZnOsO6
1.0
-0.560 -5.152 1.166
2.889 -1.522 -5.339
3.329 0.822 5.235
Tl O Os Zn
2 6 1 1
Direct
0.110 0.333 0.667 Tl
0.890 0.667 0.333 Tl
0.211 0.859 0.141 O
0.211 0.859 0.719 O
0.789 0.141 0.281 O
0.789 0.141 0.859 O
0.789 0.719 0.859 O
0.211 0.281 0.141 O
0.000 0.000 0.000 Os
0.500 0.000 0.000 Zn
```

Calculated values
- Raw formation energy: -7.9 eV/f.u.
- Symmetry: P-3m1
- Fermi-level density of states: 1.50 states/eV/f.u.

---

# 7
ZrTl2Os3O12 | PBE-GGA | optimized geometry

```
ZrTl2Os3O12
1.0
-5.651 0.418 4.838
0.213 -3.503 6.572
0.611 3.749 6.410
Zr O Os Tl
1 12 3 2
Direct
0.000 0.000 0.000 Zr
0.696 0.072 0.696 O
0.928 0.304 0.304 O
0.304 0.304 0.928 O
0.076 0.656 0.076 O
0.696 0.696 0.072 O
0.304 0.928 0.304 O
0.924 0.924 0.344 O
0.924 0.344 0.924 O
0.072 0.696 0.696 O
0.656 0.076 0.076 O
0.076 0.076 0.656 O
0.344 0.924 0.924 O
0.000 0.000 0.500 Os
0.500 0.000 0.000 Os
0.000 0.500 0.000 Os
0.346 0.346 0.346 Tl
0.654 0.654 0.654 Tl
```

Calculated values
- Raw formation energy: -23.6 eV/f.u.
- Symmetry: R-3m
- Fermi-level density of states: 11.64 states/eV/f.u.

---

# 8
Tm3OsO7 | PBE-GGA | optimized geometry

```
Tm3OsO7
1.0
-3.986 1.566 4.737
4.258 -4.219 2.203
4.441 5.485 1.923
O Tm Os
14 6 2
Direct
0.631 0.369 0.750 O
0.918 0.672 0.026 O
0.638 0.362 0.250 O
0.369 0.631 0.250 O
0.328 0.082 0.474 O
0.063 0.316 0.964 O
0.362 0.638 0.750 O
0.316 0.063 0.036 O
0.937 0.684 0.464 O
0.925 0.075 0.250 O
0.075 0.925 0.750 O
0.672 0.918 0.974 O
0.684 0.937 0.536 O
0.082 0.328 0.526 O
0.525 0.525 0.000 Tm
0.475 0.475 0.500 Tm
0.000 0.466 0.245 Tm
0.534 0.000 0.255 Tm
0.466 0.000 0.755 Tm
0.000 0.534 0.745 Tm
0.000 0.000 0.000 Os
0.000 0.000 0.500 Os
```

Calculated values
- Raw formation energy: -30.9 eV/f.u.
- Symmetry: C222_1
- Fermi-level density of states: 0.62 states/eV/f.u.

---

# 9
TmOsO6 | PBE-GGA | optimized geometry

```
TmOsO6
1.0
-0.690 1.988 -3.828
-3.901 -1.805 0.779
-0.694 3.992 2.803
Tm O Os
1 6 1
Direct
0.000 0.000 0.000 Tm
0.827 0.457 0.765 O
0.543 0.173 0.235 O
0.217 0.217 0.655 O
0.783 0.783 0.345 O
0.173 0.543 0.235 O
0.457 0.827 0.765 O
0.500 0.500 0.500 Os
```

Calculated values
- Raw formation energy: -11.0 eV/f.u.
- Symmetry: C2/m
- Fermi-level density of states: 2.64 states/eV/f.u.

---

# 10
TmOsO4 | PBE-GGA | optimized geometry

```
TmOsO4
1.0
6.025 0.202 0.000
-2.383 5.537 0.000
-1.821 -2.869 4.979
Os O Tm
2 8 2
Direct
0.250 0.750 0.500 Os
0.500 0.500 0.000 Os
0.703 0.524 0.822 O
0.047 0.726 0.678 O
0.631 0.953 0.678 O
0.119 0.297 0.822 O
0.274 0.953 0.322 O
0.047 0.369 0.322 O
0.476 0.297 0.178 O
0.703 0.881 0.178 O
0.000 0.000 0.000 Tm
0.750 0.250 0.500 Tm
```

Calculated values
- Energy relative to the lowest polymorph listed for this composition: 211 meV/atom
- Raw formation energy: -11.3 eV/f.u.
- Symmetry: I4_1/amd
- Fermi-level density of states: 2.21 states/eV/f.u.

---

# 11
TmOsO4 | PBE-GGA | optimized geometry

```
TmOsO4
1.0
5.272 0.000 0.000
0.000 7.557 -1.154
0.000 -0.086 7.341
Os Tm O
4 4 16
Direct
0.771 0.839 0.201 Os
0.271 0.161 0.299 Os
0.229 0.161 0.799 Os
0.729 0.839 0.701 Os
0.215 0.647 0.887 Tm
0.785 0.353 0.113 Tm
0.285 0.647 0.387 Tm
0.715 0.353 0.613 Tm
0.123 0.170 0.055 O
0.914 0.055 0.695 O
0.021 0.691 0.618 O
0.977 0.609 0.177 O
0.086 0.945 0.305 O
0.521 0.309 0.882 O
0.586 0.055 0.195 O
0.479 0.691 0.118 O
0.523 0.609 0.677 O
0.414 0.945 0.805 O
0.477 0.391 0.323 O
0.623 0.830 0.445 O
0.877 0.830 0.945 O
0.377 0.170 0.555 O
0.979 0.309 0.382 O
0.023 0.391 0.823 O
```

Calculated values
- Energy relative to the lowest polymorph listed for this composition: 0 meV/atom
- Raw formation energy: -12.5 eV/f.u.
- Symmetry: P2_1/c
- Fermi-level density of states: 2.18 states/eV/f.u.

---

# 12
Tm5Os2O12 | PBE-GGA | optimized geometry

```
Tm5Os2O12
1.0
-4.153 0.272 3.762
1.726 -6.312 -1.821
4.843 2.011 5.201
O Os Tm
12 2 5
Direct
0.499 0.999 0.822 O
0.087 0.664 0.912 O
0.404 0.305 0.572 O
0.002 0.004 0.794 O
0.501 0.001 0.178 O
0.577 0.664 0.912 O
0.901 0.305 0.572 O
0.596 0.695 0.428 O
0.913 0.336 0.088 O
0.099 0.695 0.428 O
0.423 0.336 0.088 O
0.998 0.996 0.206 O
0.780 0.000 0.000 Os
0.220 0.000 0.000 Os
0.700 0.400 0.359 Tm
0.000 0.000 0.500 Tm
0.688 0.376 0.827 Tm
0.300 0.600 0.641 Tm
0.312 0.624 0.173 Tm
```

Calculated values
- Raw formation energy: -52.4 eV/f.u.
- Symmetry: C2/m
- Fermi-level density of states: 5.96 states/eV/f.u.

---

# 13
Tm4OsO10 | PBE-GGA | optimized geometry

```
Tm4OsO10
1.0
4.765 0.000 2.151
2.382 5.839 1.076
-0.021 0.000 6.398
O Os Tm
10 1 4
Direct
0.411 0.915 0.721 O
0.674 0.279 0.915 O
0.250 0.500 0.500 O
0.589 0.085 0.279 O
0.750 0.500 0.500 O
0.132 0.279 0.915 O
0.326 0.721 0.085 O
0.868 0.721 0.085 O
0.953 0.915 0.721 O
0.047 0.085 0.279 O
0.000 0.000 0.000 Os
0.597 0.206 0.599 Tm
0.803 0.599 0.794 Tm
0.197 0.401 0.206 Tm
0.403 0.794 0.401 Tm
```

Calculated values
- Raw formation energy: -37.5 eV/f.u.
- Symmetry: I4/m
- Fermi-level density of states: 14.24 states/eV/f.u.

---

# 14
YTmOsO6 | PBE-GGA | optimized geometry

```
YTmOsO6
1.0
5.438 0.000 0.000
-2.719 4.709 0.000
0.000 0.000 9.579
O Tm Os Y
12 2 2 2
Direct
0.962 0.631 0.364 O
0.962 0.331 0.136 O
0.631 0.962 0.864 O
0.369 0.038 0.136 O
0.038 0.669 0.864 O
0.331 0.962 0.636 O
0.331 0.369 0.864 O
0.669 0.038 0.364 O
0.038 0.369 0.636 O
0.369 0.331 0.364 O
0.631 0.669 0.636 O
0.669 0.631 0.136 O
0.333 0.667 0.250 Tm
0.667 0.333 0.750 Tm
0.667 0.333 0.250 Os
0.333 0.667 0.750 Os
0.000 0.000 0.500 Y
0.000 0.000 0.000 Y
```

Calculated values
- Raw formation energy: -21.6 eV/f.u.
- Symmetry: P-31c
- Fermi-level density of states: 4.11 states/eV/f.u.

---

# 15
Y2TmOsO8 | PBE-GGA | optimized geometry

```
Y2TmOsO8
1.0
5.033 -0.046 -0.003
-0.020 5.034 -0.006
0.004 0.007 6.733
Y O Tm Os
2 8 1 1
Direct
0.500 0.500 0.746 Y
0.500 0.500 0.254 Y
0.181 0.819 0.213 O
0.181 0.819 0.787 O
0.265 0.265 0.000 O
0.696 0.696 0.500 O
0.735 0.735 0.000 O
0.304 0.304 0.500 O
0.819 0.181 0.213 O
0.819 0.181 0.787 O
0.000 0.000 0.500 Tm
0.000 0.000 0.000 Os
```

Calculated values
- Raw formation energy: -30.4 eV/f.u.
- Symmetry: Cmmm
- Fermi-level density of states: 2.09 states/eV/f.u.

---

# 16
U2OsO | PBE-GGA | optimized geometry

```
U2OsO
1.0
-2.769 -1.219 0.197
1.124 -2.688 -0.838
1.200 -1.623 6.816
Os O U
1 1 2
Direct
0.500 0.500 0.500 Os
0.500 0.500 0.000 O
0.000 0.000 0.224 U
0.000 0.000 0.776 U
```

Calculated values
- Raw formation energy: -3.2 eV/f.u.
- Symmetry: P4/mmm
- Fermi-level density of states: 7.01 states/eV/f.u.

---

# 17
UOsO | PBE-GGA | optimized geometry

```
UOsO
1.0
-2.355 1.559 1.111
-2.055 -6.361 4.572
5.822 2.022 5.357
O U Os
4 4 4
Direct
0.954 0.635 0.909 O
0.452 0.129 0.904 O
0.046 0.365 0.091 O
0.548 0.871 0.096 O
0.411 0.862 0.822 U
0.589 0.138 0.178 U
0.412 0.397 0.825 U
0.588 0.603 0.175 U
0.230 0.125 0.461 Os
0.770 0.875 0.539 Os
0.771 0.376 0.542 Os
0.229 0.624 0.458 Os
```

Calculated values
- Raw formation energy: -3.6 eV/f.u.
- Symmetry: C2/m
- Fermi-level density of states: 2.89 states/eV/f.u.